This record from Alexandria describes a relaxed BaMn2Sb crystal. The functional is PBE.

Geometry as extended XYZ:
```
4
Lattice="-3.3722 2.1374 4.0616 2.6551 -0.7167 4.9874 1.8357 2.2939 -4.8791" Properties=species:S:1:pos:R:3 pbc="T T T"
Ba -0.9476 2.5708 1.8535
Mn 0.0000 0.0000 0.0000
Mn 2.0661 1.1438 2.3164
Sb -0.3586 0.7104 4.5245
```

Properties
ρ = 5.9 Mg/m³
Uncorrected formation energy = 0.486 eV/atom
Spin magnetization = 7.95 μB/f.u.
Total energy = -5.610 eV/atom

=====

This record from Alexandria describes a relaxed BaMnSbSe4 crystal. The functional is PBE.

Geometry as extended XYZ:
```
14
Lattice="6.8656 0.0000 -0.0782 0.0000 6.8620 0.0000 -2.7557 0.0000 8.8407" Properties=species:S:1:pos:R:3 pbc="T T T"
Ba 2.5424 5.1465 8.2732
Ba 1.5675 1.7155 0.4892
Mn 0.9146 5.1465 2.7519
Mn 3.1953 1.7155 6.0105
Sb 3.8784 5.1465 4.4279
Sb 0.2315 1.7155 4.3345
Se 4.8276 3.4841 6.2990
Se -0.7177 0.0531 2.4634
Se -0.7177 3.3779 2.4634
Se 4.8276 6.8089 6.2990
Se 2.2880 5.1465 0.8304
Se 1.8219 1.7155 7.9320
Se 1.3313 5.1465 5.1852
Se 2.7786 1.7155 3.5773
```

Properties
ρ = 5.0 Mg/m³
Uncorrected formation energy = -0.736 eV/atom
Spin magnetization = 4.00 μB/f.u.
Total energy = -4.900 eV/atom

=====

This record from Alexandria describes a relaxed BaMnTc2Sb crystal. The functional is PBE.

Geometry as extended XYZ:
```
5
Lattice="-1.9929 3.3857 -2.6278 1.6124 -2.2490 -4.1205 -4.0014 -2.5081 -0.1969" Properties=species:S:1:pos:R:3 pbc="T T T"
Sb 0.8062 -1.1245 -2.0603
Mn 0.0000 0.0000 0.0000
Ba -2.1909 -0.6856 -3.4726
Tc -2.0007 -1.2540 -0.0985
Tc -0.9964 1.6929 -1.3139
```

Properties
ρ = 7.6 Mg/m³
Uncorrected formation energy = 0.836 eV/atom
Spin magnetization = 1.38 μB/f.u.
Total energy = -6.353 eV/atom

=====

This record from Alexandria describes a relaxed BaScMn2 crystal. The functional is PBE.

Geometry as extended XYZ:
```
4
Lattice="10.2163 0.0195 0.0115 9.6620 3.3196 0.0115 9.6620 1.6230 2.8959" Properties=species:S:1:pos:R:3 pbc="T T T"
Ba 22.1552 3.7216 2.1891
Mn 29.2129 4.9072 2.8865
Mn 15.0975 2.5361 1.4918
Sc 7.3851 1.2405 0.7297
```

Properties
ρ = 5.0 Mg/m³
Spin magnetization = 6.85 μB/f.u.
Total energy = -5.923 eV/atom
Relative energy among the computed polymorphs = 383.9 meV/atom
Formation energy from the elements = 0.726 eV per atom